First-principles (PBE-GGA) data for ErGa2Ag after structural relaxation, as listed in Alexandria via LeMat-Bulk.

The density is 8.72 Mg/m³. For the density of states at the Fermi level, the calculation gives 1.5 states/eV/f.u. As for the total magnetization: 0.0 μB/f.u. The energy of formation comes out at -390 meV/atom.

The space group is P4/mmm (No. 123) and the conventional cell measures 4.383, 4.383 and 4.108 Å, with angles of 90.00, 90.00 and 90.00 degrees. Symmetry generates all atoms from Er at (0.000, 0.000, 0.000), Ga at (0.000, 0.500, 0.500) and Ag at (0.500, 0.500, 0.000).

***

First-principles (PBE-GGA) data for Ba2HPt after structural relaxation, as listed in Alexandria via LeMat-Bulk.

The density is 6.41 Mg/m³. For the density of states at the Fermi level, the calculation gives 2.3 states/eV/f.u. The value obtained for the distance to the lowest polymorph of the same formula is 0 meV/atom. As for the total magnetization: 0.0 μB/f.u.

The space group is R-3m (No. 166, hexagonal axes) and the conventional cell measures 4.4613, 4.4613 and 21.2032 Å, with angles of 90.00, 90.00 and 120.00 degrees. Symmetry generates all atoms from Ba at (0.0000, 0.0000, 0.2483), H at (0.0000, 0.0000, 0.5000) and Pt at (0.0000, 0.0000, 0.0000).

***

First-principles (PBE-GGA) data for InAg2Pd after structural relaxation, as listed in Alexandria via LeMat-Bulk.

The density is 10.08 Mg/m³. For the density of states at the Fermi level, the calculation gives 1.7 states/eV/f.u. The value obtained for the distance to the lowest polymorph of the same formula is 90 meV/atom. As for the total magnetization: 0.0 μB/f.u. The energy of formation comes out at -113 meV/atom.

The space group is Fm-3m (No. 225) and the conventional cell measures 6.604, 6.604 and 6.604 Å, with angles of 90.00, 90.00 and 90.00 degrees. Symmetry generates all atoms from In at (0.000, 0.000, 0.000), Ag at (0.250, 0.250, 0.250) and Pd at (0.000, 0.000, 0.500).